Entry 1:
Computed, not measured: crystalline TcBN3 at its relaxed geometry at the PBE level of DFT.

Summary:
Uncorrected formation energy   1.33 eV per atom
Magnetic moment   0.658 μB per cell
E_tot   -0.520 Ry/atom

abc: 3.357 3.357 3.357
angles: 90.00 90.00 90.00
Space group Pm-3m (No. 221)
Inequivalent atoms, fractional coordinates:
Tc1 0.000 0.000 0.000 (multiplicity 1)
B1 0.500 0.500 0.500 (multiplicity 1)
N1 0.000 0.500 0.500 (multiplicity 3)



Entry 2:
Computed, not measured: crystalline PuAl2Si2Ni2 at its relaxed geometry at the PBE level of DFT.

Summary:
Uncorrected formation energy   -0.48 eV per atom
Magnetic moment   15.605 μB per cell
E_tot   -0.500 Ry/atom

abc: 3.9997 3.9997 23.2215
angles: 90.00 90.00 120.00
Space group R-3m (No. 166, hexagonal axes)
Inequivalent atoms, fractional coordinates:
Pu1 0.0000 0.0000 0.0000 (multiplicity 3)
Al1 0.0000 0.0000 0.1359 (multiplicity 6)
Si1 0.0000 0.0000 0.2566 (multiplicity 6)
Ni1 0.0000 0.0000 0.4408 (multiplicity 6)



Entry 3:
Computed, not measured: crystalline YTa2Fe2 at its relaxed geometry at the PBE level of DFT.

Summary:
Magnetic moment   0.000 μB per cell
ΔH_f (0 K)   182 meV/atom
Offset from the most stable computed form   276 meV/atom
E_tot   -0.679 Ry/atom

abc: 7.631 7.631 2.871
angles: 90.00 90.00 90.00
Space group P4/mbm (No. 127)
Inequivalent atoms, fractional coordinates:
Y1 0.000 0.000 0.000 (multiplicity 2)
Ta1 0.143 0.357 0.000 (multiplicity 4)
Fe1 0.143 0.643 0.500 (multiplicity 4)



Entry 4:
Computed, not measured: crystalline La2RuSe at its relaxed geometry at the PBE level of DFT.

Summary:
Uncorrected formation energy   -0.24 eV per atom
Magnetic moment   0.000 μB per cell
E_tot   -0.433 Ry/atom

abc: 7.151 7.151 7.151
angles: 90.00 90.00 90.00
Space group F-43m (No. 216)
Inequivalent atoms, fractional coordinates:
La1 0.000 0.000 0.000 (multiplicity 4)
La2 0.250 0.250 0.250 (multiplicity 4)
Ru1 0.000 0.000 0.500 (multiplicity 4)
Se1 0.250 0.250 0.750 (multiplicity 4)



Entry 5:
Computed, not measured: crystalline ZrIrPt at its relaxed geometry at the PBE level of DFT.

Summary:
Magnetic moment   0.000 μB per cell
ΔH_f (0 K)   -598 meV/atom
Offset from the most stable computed form   206 meV/atom
E_tot   -0.618 Ry/atom

abc: 3.413 3.413 9.029
angles: 90.00 90.00 90.00
Space group I4mm (No. 107)
Inequivalent atoms, fractional coordinates:
Zr1 0.000 0.000 0.000 (multiplicity 2)
Ir1 0.000 0.000 0.654 (multiplicity 2)
Pt1 0.000 0.000 0.335 (multiplicity 2)



Entry 6:
Computed, not measured: crystalline Np6In at its relaxed geometry at the PBE level of DFT.

Summary:
Magnetic moment   0.000 μB per cell
ΔH_f (0 K)   522 meV/atom
E_tot   -0.806 Ry/atom

abc: 6.834 6.834 6.834
angles: 90.00 90.00 90.00
Space group Im-3m (No. 229)
Inequivalent atoms, fractional coordinates:
Np1 0.000 0.250 0.500 (multiplicity 12)
In1 0.000 0.000 0.000 (multiplicity 2)